Entry from Alexandria via LeMat-Bulk: DyErMnCu after structural relaxation (GGA-PBE).

```
4
Lattice="-4.7044 -0.2787 -1.4414 -2.2900 -4.3625 -0.1071 -3.5287 -1.0120 3.2880" Properties=species:S:1:pos:R:3 pbc="T T T"
Er 0.0000 0.0000 0.0000
Cu -2.6308 -1.4133 0.4349
Dy -5.2616 -2.8266 0.8697
Mn -7.8924 -4.2398 1.3046
```

Summary:
Fermi-level density of states ... 4.8 states/eV per cell
Energy of formation from the pure elements ... 0.019 eV/atom
Symmetry ... F-43m

Entry from Alexandria via LeMat-Bulk: NdDyErCu after structural relaxation (GGA-PBE).

```
4
Lattice="-0.5002 3.4597 -0.3373 -1.6303 -0.5345 -3.0643 -7.6064 -0.6933 4.1677" Properties=species:S:1:pos:R:3 pbc="T T T"
Cu -4.3116 -0.3930 2.3624
Nd -0.5595 -0.0510 0.3066
Er -3.9591 1.1988 -0.1152
Dy -6.8753 0.9330 1.4826
```

Summary:
Fermi-level density of states ... 3.9 states/eV per cell
Energy of formation from the pure elements ... -0.107 eV/atom
Symmetry ... P4mm

Entry from Alexandria via LeMat-Bulk: DyErCuNi after structural relaxation (GGA-PBE).

```
4
Lattice="-0.5772 4.6085 -1.2603 -0.2174 1.2133 -4.6519 -4.1653 1.4682 -1.9117" Properties=species:S:1:pos:R:3 pbc="T T T"
Er -2.4800 3.6450 -3.9120
Dy 0.0000 0.0000 0.0000
Cu -1.2400 1.8225 -1.9560
Ni -3.7200 5.4675 -5.8679
```

Summary:
Fermi-level density of states ... 2.8 states/eV per cell
Energy of formation from the pure elements ... -0.339 eV/atom
Symmetry ... F-43m
Energy above the lowest structure with this stoichiometry ... 36 meV per atom

Entry from Alexandria via LeMat-Bulk: DyErCuNi after structural relaxation (GGA-PBE).

```
4
Lattice="3.6741 0.0000 0.0000 0.0000 4.3857 0.0000 -1.8370 0.0000 5.0752" Properties=species:S:1:pos:R:3 pbc="T T T"
Er 1.8370 2.1929 3.6679
Cu 1.8370 2.1929 0.7320
Ni 0.0000 0.0000 4.3327
Dy 0.0000 0.0000 1.4179
```

Summary:
Fermi-level density of states ... 2.6 states/eV per cell
Energy of formation from the pure elements ... -0.375 eV/atom
Symmetry ... Amm2
Energy above the lowest structure with this stoichiometry ... 0 meV per atom

Entry from Alexandria via LeMat-Bulk: DyErCuOs after structural relaxation (GGA-PBE).

```
4
Lattice="-4.3486 0.8715 -1.9150 -3.9279 -0.0307 2.8121 -2.2920 4.1349 0.9932" Properties=species:S:1:pos:R:3 pbc="T T T"
Dy 0.0000 0.0000 0.0000
Er -5.2842 2.4878 0.9451
Os -7.9264 3.7317 1.4177
Cu -2.6421 1.2439 0.4726
```

Summary:
Fermi-level density of states ... 2.5 states/eV per cell
Energy of formation from the pure elements ... -0.282 eV/atom
Symmetry ... F-43m

Entry from Alexandria via LeMat-Bulk: DyErCuPd after structural relaxation (GGA-PBE).

```
4
Lattice="4.9178 0.0000 0.0000 2.4589 4.2589 0.0000 2.4589 1.4196 4.0153" Properties=species:S:1:pos:R:3 pbc="T T T"
Er 4.9178 2.8393 2.0077
Cu 2.4589 1.4196 1.0038
Pd 7.3766 4.2589 3.0115
Dy 0.0000 0.0000 0.0000
```

Summary:
Fermi-level density of states ... 2.9 states/eV per cell
Energy of formation from the pure elements ... -0.582 eV/atom
Symmetry ... F-43m
Energy above the lowest structure with this stoichiometry ... 31 meV per atom

Entry from Alexandria via LeMat-Bulk: DyErCuPd after structural relaxation (GGA-PBE).

```
4
Lattice="3.7033 0.0000 0.0000 0.0000 4.5388 0.0000 -1.8516 0.0000 5.1901" Properties=species:S:1:pos:R:3 pbc="T T T"
Cu 0.0000 0.0000 4.3691
Pd 1.8516 2.2694 0.8143
Dy 0.0000 0.0000 1.4445
Er 1.8516 2.2694 3.7523
```

Summary:
Fermi-level density of states ... 2.3 states/eV per cell
Energy of formation from the pure elements ... -0.613 eV/atom
Symmetry ... Amm2
Energy above the lowest structure with this stoichiometry ... 0 meV per atom

Entry from Alexandria via LeMat-Bulk: PrDyErCu after structural relaxation (GGA-PBE).

```
4
Lattice="3.4632 0.0000 0.0000 0.0000 3.4632 0.0000 0.0000 0.0000 10.3206" Properties=species:S:1:pos:R:3 pbc="T T T"
Pr 0.0000 0.0000 3.1277
Dy 1.7316 1.7316 9.2462
Cu 0.0000 0.0000 0.3069
Er 1.7316 1.7316 5.7385
```

Summary:
Fermi-level density of states ... 4.7 states/eV per cell
Energy of formation from the pure elements ... 0.280 eV/atom
Symmetry ... P4mm

Entry from Alexandria via LeMat-Bulk: DyErCuPt after structural relaxation (GGA-PBE).

```
4
Lattice="3.7460 0.0000 0.0000 0.0000 4.4357 0.0000 -1.8730 0.0000 5.2217" Properties=species:S:1:pos:R:3 pbc="T T T"
Pt 1.8730 2.2178 0.8294
Dy 1.8730 2.2178 3.7687
Er 0.0000 0.0000 1.4466
Cu 0.0000 0.0000 4.3987
```

Summary:
Fermi-level density of states ... 2.4 states/eV per cell
Energy of formation from the pure elements ... -0.823 eV/atom
Symmetry ... Amm2
Energy above the lowest structure with this stoichiometry ... 0 meV per atom

Entry from Alexandria via LeMat-Bulk: DyErCuPt after structural relaxation (GGA-PBE).

```
4
Lattice="-0.0650 -1.8846 4.5232 4.1460 -0.2800 2.5975 0.6622 2.9189 3.8803" Properties=species:S:1:pos:R:3 pbc="T T T"
Pt 0.0000 0.0000 0.0000
Er 3.5575 0.5657 8.2508
Dy 1.1858 0.1886 2.7503
Cu 2.3717 0.3771 5.5006
```

Summary:
Fermi-level density of states ... 2.6 states/eV per cell
Energy of formation from the pure elements ... -0.790 eV/atom
Symmetry ... F-43m
Energy above the lowest structure with this stoichiometry ... 34 meV per atom

Entry from Alexandria via LeMat-Bulk: DyErCuRh after structural relaxation (GGA-PBE).

```
4
Lattice="4.8598 0.0000 0.0000 2.4299 4.2087 0.0000 2.4299 1.4029 3.9680" Properties=species:S:1:pos:R:3 pbc="T T T"
Rh 7.2898 4.2087 2.9760
Cu 2.4299 1.4029 0.9920
Dy 0.0000 0.0000 0.0000
Er 4.8598 2.8058 1.9840
```

Summary:
Fermi-level density of states ... 3.7 states/eV per cell
Energy of formation from the pure elements ... -0.583 eV/atom
Symmetry ... F-43m
Energy above the lowest structure with this stoichiometry ... 17 meV per atom

Entry from Alexandria via LeMat-Bulk: DyErCuRh after structural relaxation (GGA-PBE).

```
4
Lattice="-3.1352 0.9648 -1.8088 1.9444 -0.8433 -3.8202 -0.0767 -5.3716 1.1467" Properties=species:S:1:pos:R:3 pbc="T T T"
Dy -0.4646 -1.3813 0.0685
Cu -0.8473 -0.6883 -2.7773
Er -1.7892 -3.4889 -2.6385
Rh -1.3784 -4.0985 0.2032
```

Summary:
Fermi-level density of states ... 2.8 states/eV per cell
Energy of formation from the pure elements ... -0.600 eV/atom
Symmetry ... Amm2
Energy above the lowest structure with this stoichiometry ... 0 meV per atom